Here is a relaxed Tl3IrOs crystal from Alexandria via LeMat-Bulk. Energies are from PBE.

Cell lengths 5.245, 5.245, 5.245 Å; angles 90.00, 90.00, 90.00 degrees
Each line ends with the local moment (μB).
Fractional positions:
Tl: 0.000 0.500 0.000  -0.01
Tl: 0.000 0.000 0.500  -0.02
Ir: 0.000 0.000 0.000  0.06
Tl: 0.500 0.000 0.000  0.01
Os: 0.500 0.500 0.500  2.63

Computed properties:
- DOS(E_F): 0.76 states/eV/atom
- DFT formation energy: 1.33 eV/atom
- Total DFT energy (no corrections): -4.110 eV/atom
- ρ: 11459 kg/m3